[1]
Density functional theory data (GGA-PBE) for a relaxed B3C2 crystal.

POSCAR file:
```
B3C2
1.0
5.272 0.000 -0.032
0.000 2.639 0.000
-0.292 0.000 4.919
C B
4 6
direct
0.637 0.000 0.957 C
0.637 0.500 0.457 C
0.160 0.000 0.364 C
0.160 0.500 0.864 C
0.702 0.000 0.633 B
0.702 0.500 0.133 B
0.064 0.000 0.671 B
0.064 0.500 0.171 B
0.353 0.000 0.882 B
0.353 0.500 0.382 B
```

Total DFT energy (no corrections) = -7.350 eV/atom
Total magnetization = 0.00 μB/cell
Energy of formation = 346 meV/atom
Offset from the most stable computed form = 0.1353 eV per atom

[2]
Density functional theory data (GGA-PBE) for a relaxed BC crystal.

POSCAR file:
```
BC
1.0
-1.000 -2.364 -0.011
1.514 -0.649 1.752
-8.717 3.646 8.886
B C
6 6
direct
0.500 0.500 0.826 B
0.500 0.000 0.932 B
0.500 0.000 0.569 B
0.000 0.000 0.666 B
0.500 0.500 0.159 B
0.500 0.000 0.266 B
0.500 0.500 0.480 C
0.000 0.500 0.754 C
0.000 0.000 0.342 C
0.000 0.500 0.413 C
0.000 0.000 0.014 C
0.000 0.500 0.079 C
```

Total DFT energy (no corrections) = -7.578 eV/atom
Total magnetization = 0.00 μB/cell
Energy of formation = 373 meV/atom
Offset from the most stable computed form = 0.2217 eV per atom